Run A
This record from Alexandria via LeMat-Bulk describes a relaxed structure of Cs3CdAu. The functional is PBE.

Calculated values
space-group type: No. 221

POSCAR file:
```
Cs3CdAu
1.0
6.9564 0.0000 0.0000
0.0000 6.9564 0.0000
0.0000 0.0000 6.9564
Cs Cd Au
3 1 1
Direct
0.0000 0.0000 0.5000
0.0000 0.5000 0.0000
0.5000 0.0000 0.0000
0.5000 0.5000 0.5000
0.0000 0.0000 0.0000
```

Run B
This record from Alexandria via LeMat-Bulk describes a relaxed structure of Cs3CdAu. The functional is PBE.

Calculated values
space-group type: No. 12

POSCAR file:
```
Cs3CdAu
1.0
4.9478 -5.8030 0.0000
4.9478 5.8030 0.0000
-0.8872 0.0000 10.2072
Cs Cd Au
6 2 2
Direct
0.0926 0.7051 0.6748
0.2785 0.2785 0.9396
0.2949 0.9074 0.3252
0.7051 0.0926 0.6748
0.7215 0.7215 0.0604
0.9074 0.2949 0.3252
0.4357 0.4357 0.3524
0.5643 0.5643 0.6476
0.2720 0.2720 0.5802
0.7280 0.7280 0.4198
```

Which one sits at the bottom of the stability order? run A does.

Run A
This record from Alexandria via LeMat-Bulk describes a relaxed structure of CsCdAu. The functional is PBE.

Calculated values
space-group type: No. 198

POSCAR file:
```
CsCdAu
1.0
7.7455 0.0000 0.0000
0.0000 7.7455 0.0000
0.0000 0.0000 7.7455
Cs Cd Au
4 4 4
Direct
0.1537 0.1537 0.1537
0.3463 0.8463 0.6537
0.6537 0.3463 0.8463
0.8463 0.6537 0.3463
0.1555 0.3445 0.6555
0.3445 0.6555 0.1555
0.6555 0.1555 0.3445
0.8445 0.8445 0.8445
0.0796 0.5796 0.9204
0.4204 0.4204 0.4204
0.5796 0.9204 0.0796
0.9204 0.0796 0.5796
```

Run B
This record from Alexandria via LeMat-Bulk describes a relaxed structure of CsCdAu. The functional is PBE.

Calculated values
space-group type: No. 216

POSCAR file:
```
CsCdAu
1.0
0.0000 3.9904 3.9904
3.9904 0.0000 3.9904
3.9904 3.9904 0.0000
Cs Cd Au
1 1 1
Direct
0.0000 0.0000 0.0000
0.5000 0.5000 0.5000
0.2500 0.2500 0.2500
```

Run C
This record from Alexandria via LeMat-Bulk describes a relaxed structure of CsCdAu. The functional is PBE.

Calculated values
space-group type: No. 107

POSCAR file:
```
CsCdAu
1.0
-1.9920 1.9920 6.4516
1.9920 -1.9920 6.4516
1.9920 1.9920 -6.4516
Cs Cd Au
1 1 1
Direct
0.0000 0.0000 0.0000
0.2783 0.2783 0.0000
0.7088 0.7088 0.0000
```

Which one sits at the bottom of the stability order? run B does.

Run A
This record from Alexandria via LeMat-Bulk describes a relaxed structure of Cs2CdAu3. The functional is PBE.

Calculated values
space-group type: No. 51

POSCAR file:
```
Cs2CdAu3
1.0
5.8565 0.0000 0.0000
0.0000 7.1935 0.0000
0.0000 0.0000 9.3904
Cs Cd Au
4 2 6
Direct
0.2500 0.0000 0.1288
0.2500 0.5000 0.3658
0.7500 0.0000 0.8712
0.7500 0.5000 0.6342
0.2500 0.5000 0.9039
0.7500 0.5000 0.0961
0.0000 0.0000 0.5000
0.2500 0.2024 0.7143
0.2500 0.7976 0.7143
0.5000 0.0000 0.5000
0.7500 0.2024 0.2857
0.7500 0.7976 0.2857
```

Run B
This record from Alexandria via LeMat-Bulk describes a relaxed structure of Cs2CdAu3. The functional is PBE.

Calculated values
space-group type: No. 15

POSCAR file:
```
Cs2CdAu3
1.0
6.1571 -4.5223 0.0000
6.1571 4.5223 0.0000
-2.4519 0.0000 8.6864
Cs Cd Au
4 2 6
Direct
0.0361 0.6524 0.8401
0.3476 0.9639 0.6599
0.6524 0.0361 0.3401
0.9639 0.3476 0.1599
0.4245 0.5755 0.2500
0.5755 0.4245 0.7500
0.1182 0.8818 0.2500
0.3109 0.4613 0.4840
0.4613 0.3109 0.9840
0.5387 0.6891 0.0160
0.6891 0.5387 0.5160
0.8818 0.1182 0.7500
```

Which one sits at the bottom of the stability order? run B does.